Record 1
A plane-wave DFT calculation with PBE was carried out for BiPd2Cl after structural relaxation.

Computed properties:
Space group: No. 122
DOS(E_F) (states/eV per cell): 2.30
ΔE_f (raw) (eV per atom): -0.05

Lattice parameters (Å, degrees): 6.0256 6.0256 6.0256 104.34 104.34 120.31
Last column: nearest neighbours and their distance in Å.
Positions (direct):
Bi1 0.0000 0.0000 0.0000  4 Pd 2.77, 2 Cl 3.00
Bi2 0.7500 0.2500 0.5000  4 Pd 2.77, 2 Cl 3.00
Pd1 0.1358 0.6250 0.0108  2 Cl 2.66, 2 Bi 2.77
Pd2 0.3750 0.3858 0.5108  2 Cl 2.66, 2 Bi 2.77
Pd3 0.6142 0.1250 0.9892  2 Cl 2.66, 2 Bi 2.77
Pd4 0.8750 0.8642 0.4892  2 Cl 2.66, 2 Bi 2.77
Cl1 0.2500 0.7500 0.5000  4 Pd 2.66
Cl2 0.5000 0.5000 0.0000  4 Pd 2.66

---

Record 2
A plane-wave DFT calculation with PBE was carried out for TcMo after structural relaxation.

Computed properties:
Formation enthalpy at 0 K (eV/f.u.): 0.25
Space group: No. 67
DOS(E_F) (states/eV per cell): 4.46

Lattice parameters (Å, degrees): 2.7029 2.7029 8.8506 90.00 90.00 108.96
Last column: nearest neighbours and their distance in Å.
Positions (direct):
Tc1 0.2500 0.7500 0.8771  6 Tc 2.68-2.70, 2 Mo 2.71
Tc2 0.7500 0.2500 0.1229  6 Tc 2.68-2.70, 2 Mo 2.71
Mo1 0.2500 0.7500 0.3722  6 Mo 2.70-2.75, 2 Tc 2.71
Mo2 0.7500 0.2500 0.6278  6 Mo 2.70-2.75, 2 Tc 2.71

---

Record 3
A plane-wave DFT calculation with PBE was carried out for Ho2MgH after structural relaxation.

Computed properties:
Space group: No. 166
DOS(E_F) (states/eV per cell): 3.94
Total DFT energy (no corrections) (eV/cell): -14.76

Lattice parameters (Å, degrees): 8.3001 8.3001 8.3001 24.68 24.68 24.68
Last column: nearest neighbours and their distance in Å.
Positions (direct):
Ho1 0.2227 0.2227 0.2227  3 H 2.45
Ho2 0.7773 0.7773 0.7773  3 H 2.45
Mg1 0.0000 0.0000 0.0000  6 Ho 3.36, 6 Mg 3.55
H1 0.5000 0.5000 0.5000  6 Ho 2.45

---

Record 4
A plane-wave DFT calculation with PBE was carried out for ReAgTe2 after structural relaxation.

Computed properties:
Space group: No. 166
DOS(E_F) (states/eV per cell): 3.01
ΔE_f (raw) (eV per atom): 0.39

Lattice parameters (Å, degrees): 8.7345 8.7345 8.7345 23.15 23.15 23.15
Last column: nearest neighbours and their distance in Å.
Positions (direct):
Re1 0.0000 0.0000 0.0000  6 Te 2.74
Ag1 0.5000 0.5000 0.5000  6 Te 3.15, 6 Ag 3.51
Te1 0.2611 0.2611 0.2611  3 Re 2.74
Te2 0.7389 0.7389 0.7389  3 Re 2.74

---

Record 5
A plane-wave DFT calculation with PBE was carried out for Li8BiPd5 after structural relaxation.

Computed properties:
Formation enthalpy at 0 K (eV/f.u.): -3.72
Space group: No. 82
DOS(E_F) (states/eV per cell): 4.50

Lattice parameters (Å, degrees): 6.5612 6.5612 6.5612 111.61 111.61 105.26
Last column: nearest neighbours and their distance in Å.
Positions (direct):
Li1 0.1635 0.4158 0.5478  5 Pd 2.49-2.65, 3 Li 2.63-2.71, 1 Bi 2.70
Li2 0.3278 0.2275 0.2419  5 Pd 2.56-2.82, 3 Li 2.68-2.73
Li3 0.3843 0.8365 0.2522  5 Pd 2.49-2.65, 3 Li 2.63-2.71, 1 Bi 2.70
Li4 0.5842 0.1320 0.7478  5 Pd 2.49-2.65, 3 Li 2.63-2.71, 1 Bi 2.70
Li5 0.7725 0.0144 0.1003  5 Pd 2.56-2.82, 3 Li 2.68-2.73
Li6 0.8680 0.6157 0.4522  5 Pd 2.49-2.65, 3 Li 2.63-2.71, 1 Bi 2.70
Li7 0.9141 0.6722 0.8997  5 Pd 2.56-2.82, 3 Li 2.68-2.73
Li8 0.9856 0.0859 0.7581  5 Pd 2.56-2.82, 3 Li 2.68-2.73
Bi1 0.5000 0.5000 0.0000  4 Li 2.70
Pd1 0.0307 0.4625 0.1528  8 Li 2.56-2.82
Pd2 0.1221 0.9693 0.4318  8 Li 2.56-2.82
Pd3 0.3097 0.8779 0.8472  8 Li 2.56-2.82
Pd4 0.5375 0.6903 0.5682  8 Li 2.56-2.82
Pd5 0.7500 0.2500 0.5000  8 Li 2.49-2.59

---

Record 6
A plane-wave DFT calculation with PBE was carried out for TlHg2Ir after structural relaxation.

Computed properties:
Formation enthalpy at 0 K (eV/f.u.): 2.10
Space group: No. 122
DOS(E_F) (states/eV per cell): 5.86

Lattice parameters (Å, degrees): 10.9948 10.9948 10.9948 158.52 158.52 30.56
Last column: nearest neighbours and their distance in Å.
Positions (direct):
Tl1 0.0000 0.0000 0.0000  4 Ir 2.90, 4 Hg 3.04
Tl2 0.7500 0.2500 0.5000  4 Ir 2.90, 4 Hg 3.04
Hg1 0.1413 0.6250 0.0163  4 Hg 2.80-2.99, 2 Ir 3.00, 2 Tl 3.04
Hg2 0.3750 0.3913 0.5163  4 Hg 2.80-2.99, 2 Ir 3.00, 2 Tl 3.04
Hg3 0.6087 0.1250 0.9837  4 Hg 2.80-2.99, 2 Ir 3.00, 2 Tl 3.04
Hg4 0.8750 0.8587 0.4837  4 Hg 2.80-2.99, 2 Ir 3.00, 2 Tl 3.04
Ir1 0.2500 0.7500 0.5000  4 Tl 2.90, 4 Hg 3.00
Ir2 0.5000 0.5000 0.0000  4 Tl 2.90, 4 Hg 3.00

---

Question: Among the records above, which one has the lowest DOS(E_F)?
Answer: BiPd2Cl

---

Question: Number 3 is which compound?
Answer: Ho2MgH